1.
Computed, not measured: a relaxed structure of Cs8Rb2P at the PBE-GGA level of DFT.

The value obtained for the density of states at the Fermi level is 8.19 states/eV/f.u. For the total energy, the calculation gives -1.3505 eV/atom.

The space group is C2/m (No. 12) and the conventional cell measures 16.9239, 10.1685 and 13.2112 Å, with angles of 90.00, 107.81 and 90.00 degrees. The asymmetric unit holds Cs at (0.0521, 0.2374, 0.1937), Cs at (0.1489, 0.5000, 0.6077), Cs at (0.1967, 0.0000, 0.9826), Rb at (0.1472, 0.0000, 0.5899) and P at (0.0000, 0.0000, 0.0000).

---

2.
Computed, not measured: a relaxed structure of Ti2Si2Hg at the PBE-GGA level of DFT.

The value obtained for the density of states at the Fermi level is 3.29 states/eV/f.u. The formation energy from raw total energies is -0.18 eV per atom. For the total energy, the calculation gives -5.5640 eV/atom. The calculation puts the distance to the lowest polymorph of the same formula at 0.65 eV per formula unit.

The space group is P4/mbm (No. 127) and the conventional cell measures 7.6374, 7.6374 and 2.9358 Å, with angles of 90.00, 90.00 and 90.00 degrees. The asymmetric unit holds Ti at (0.1297, 0.3703, 0.0000), Si at (0.1656, 0.6656, 0.5000) and Hg at (0.0000, 0.0000, 0.0000).

---

3.
Computed, not measured: a relaxed structure of SrUPb2O8 at the PBE-GGA level of DFT.

The formation energy from raw total energies is -1.94 eV per atom. For the total energy, the calculation gives -6.9481 eV/atom.

The space group is P2/m (No. 10) and the conventional cell measures 5.2512, 6.9388 and 5.2528 Å, with angles of 90.00, 91.51 and 90.00 degrees. The asymmetric unit holds Sr at (0.0000, 0.0000, 0.0000), U at (0.0000, 0.5000, 0.0000), Pb at (0.5000, 0.2509, 0.5000), O at (0.1914, 0.2910, 0.1898), O at (0.3056, 0.5000, 0.6930) and O at (0.3199, 0.0000, 0.6776).

---

4.
Computed, not measured: a relaxed structure of Ho4AlSeS2 at the PBE-GGA level of DFT.

The value obtained for the density of states at the Fermi level is 3.22 states/eV/f.u. The formation energy from raw total energies is -1.46 eV per atom. For the total energy, the calculation gives -5.6850 eV/atom.

The space group is P2/m (No. 10) and the conventional cell measures 7.0386, 3.9027 and 7.0443 Å, with angles of 90.00, 108.44 and 90.00 degrees. The asymmetric unit holds Ho at (0.2375, 0.0000, 0.2402), Ho at (0.2366, 0.5000, 0.7432), Al at (0.5000, 0.0000, 0.0000), Se at (0.5000, 0.5000, 0.5000), S at (0.0000, 0.0000, 0.5000) and S at (0.0000, 0.5000, 0.0000).

---

5.
Computed, not measured: a relaxed structure of TbNdGaAg at the PBE-GGA level of DFT.

The value obtained for the density of states at the Fermi level is 3.86 states/eV/f.u. For the total energy, the calculation gives -4.2422 eV/atom.

The space group is F-43m (No. 216) and the conventional cell measures 7.3718, 7.3718 and 7.3718 Å, with angles of 90.00, 90.00 and 90.00 degrees. The asymmetric unit holds Tb at (0.0000, 0.0000, 0.0000), Nd at (0.0000, 0.0000, 0.5000), Ga at (0.2500, 0.2500, 0.7500) and Ag at (0.2500, 0.2500, 0.2500).

---

6.
Computed, not measured: a relaxed structure of SrLaY at the PBE-GGA level of DFT.

The value obtained for the density of states at the Fermi level is 4.76 states/eV/f.u. For the total energy, the calculation gives -4.2498 eV/atom. The calculation puts the distance to the lowest polymorph of the same formula at 0.00 eV per formula unit.

The space group is I4mm (No. 107) and the conventional cell measures 3.8237, 3.8237 and 16.3654 Å, with angles of 90.00, 90.00 and 90.00 degrees. The asymmetric unit holds Sr at (0.0000, 0.0000, 0.0000), La at (0.0000, 0.0000, 0.6836) and Y at (0.0000, 0.0000, 0.3250).

---

7.
Computed, not measured: a relaxed structure of Pr3Sm2Pb2 at the PBE-GGA level of DFT.

The value obtained for the density of states at the Fermi level is 8.47 states/eV/f.u. For the total energy, the calculation gives -4.6313 eV/atom.

The space group is C2/m (No. 12) and the conventional cell measures 17.4266, 3.6069 and 8.2435 Å, with angles of 90.00, 116.32 and 90.00 degrees. The asymmetric unit holds Pr at (0.0000, 0.0000, 0.0000), Pr at (0.2123, 0.0000, 0.1513), Sm at (0.1173, 0.0000, 0.4694) and Pb at (0.0785, 0.5000, 0.7633).

---

8.
Computed, not measured: a relaxed structure of ZrTc2AgW at the PBE-GGA level of DFT.

The value obtained for the density of states at the Fermi level is 8.25 states/eV/f.u. For the total energy, the calculation gives -6.7676 eV/atom.

The space group is P4/mmm (No. 123) and the conventional cell measures 4.6396, 4.6396 and 4.8971 Å, with angles of 90.00, 90.00 and 90.00 degrees. The asymmetric unit holds Zr at (0.0000, 0.0000, 0.0000), Tc at (0.0000, 0.5000, 0.0000), Ag at (0.0000, 0.0000, 0.5000) and W at (0.5000, 0.5000, 0.5000).

---

9.
Computed, not measured: a relaxed structure of Pr6Nd3In2 at the PBE-GGA level of DFT.

The value obtained for the density of states at the Fermi level is 18.42 states/eV/f.u. For the total energy, the calculation gives -4.3246 eV/atom.

The space group is I4/mmm (No. 139) and the conventional cell measures 4.6957, 4.6957 and 35.9750 Å, with angles of 90.00, 90.00 and 90.00 degrees. The asymmetric unit holds Pr at (0.0000, 0.0000, 0.2290), Pr at (0.0000, 0.5000, 0.0802), Nd at (0.0000, 0.0000, 0.3328), Nd at (0.0000, 0.0000, 0.5000) and In at (0.0000, 0.0000, 0.1424).

---

10.
Computed, not measured: a relaxed structure of SiBr2 at the PBE-GGA level of DFT.

The value obtained for the density of states at the Fermi level is 0.00 states/eV/f.u. The formation energy from raw total energies is -0.32 eV per atom. For the total energy, the calculation gives -3.2429 eV/atom.

The space group is P1 (No. 1) and the conventional cell measures 6.2470, 6.4976 and 6.7056 Å, with angles of 109.18, 101.87 and 97.26 degrees. The asymmetric unit holds Si at (0.0000, 0.0000, 0.0000), Si at (0.2271, 0.8186, 0.4918), Br at (0.1956, 0.1693, 0.4040), Br at (0.3689, 0.0628, 0.9014), Br at (0.5763, 0.7891, 0.4403) and Br at (0.9787, 0.6286, 0.9589).